No. 1
CsLiN2F8: optimized geometry, PBE.

It has space group C2/m (No. 12), with a = 8.672 Å, b = 6.371 Å, c = 7.610 Å, α = 90.00°, β = 118.10° and γ = 90.00°. The asymmetric unit holds Cs at (0.000, 0.000, 0.000), Li at (0.000, 0.500, 0.500), N at (0.174, 0.000, 0.695), F at (0.147, 0.294, 0.707), F at (0.161, 0.500, 0.140) and F at (0.212, 0.000, 0.539).

=====

No. 2
CsNa2LiF4: optimized geometry, PBE.

It has space group Cmcm (No. 63), with a = 3.557 Å, b = 12.128 Å, c = 11.638 Å, α = 90.00°, β = 90.00° and γ = 90.00°. The asymmetric unit holds Cs at (0.000, 0.100, 0.250), Na at (0.000, 0.363, 0.045), Li at (0.000, 0.170, 0.750), F at (0.000, 0.000, 0.000), F at (0.000, 0.250, 0.614) and F at (0.000, 0.399, 0.250).

=====

Values for volume, A^3/atom, ordered as above
15.45; 15.69
Values for formation energy from raw total energies, meV/atom, ordered as above
-1102; -2729